RbBaHg3 (GGA-PBE, optimized geometry); excess energy over the best structure of this formula in the dataset = 0.3152 eV/atom; energy of formation = -0.051 eV per atom
1.0
6.522 0.000 0.000
0.000 6.522 0.000
0.000 0.000 6.522
Rb Ba Hg
1 1 3
direct
0.000 0.000 0.000
0.500 0.500 0.500
0.000 0.500 0.500
0.500 0.000 0.500
0.500 0.500 0.000

LiScCo2Ge (GGA-PBE, optimized geometry); energy of formation = 1.064 eV per atom
1.0
4.368 0.000 0.000
0.000 4.368 0.000
0.000 0.000 4.682
Li Sc Co Ge
1 1 2 1
direct
0.000 0.000 0.000
0.000 0.000 0.500
0.000 0.500 0.500
0.500 0.000 0.500
0.500 0.500 0.000

SrUTcO6 (GGA-PBE, optimized geometry); formation energy from raw total energies = -2.45 eV per atom
1.0
5.095 0.000 0.000
0.000 5.095 0.000
0.000 0.000 10.096
Sr U Tc O
2 2 2 12
direct
0.000 0.000 0.000
0.500 0.500 0.500
0.000 0.000 0.337
0.500 0.500 0.837
0.000 0.000 0.673
0.500 0.500 0.173
0.168 0.168 0.510
0.208 0.208 0.808
0.218 0.218 0.196
0.282 0.718 0.696
0.292 0.708 0.308
0.332 0.668 0.010
0.668 0.332 0.010
0.708 0.292 0.308
0.718 0.282 0.696
0.782 0.782 0.196
0.792 0.792 0.808
0.832 0.832 0.510

Sr4Zn2Cd (GGA-PBE, optimized geometry); energy of formation = -0.139 eV per atom
1.0
-3.962 3.962 3.977
3.962 -3.962 3.977
3.962 3.962 -3.977
Sr Zn Cd
4 2 1
direct
0.000 0.000 0.500
0.000 0.500 0.000
0.500 0.000 0.000
0.500 0.500 0.500
0.000 0.500 0.500
0.500 0.000 0.500
0.000 0.000 0.000

Ac5SmPb6 (GGA-PBE, optimized geometry); energy of formation = -0.478 eV per atom
1.0
2.727 -8.120 0.000
2.727 8.120 0.000
-0.018 0.000 9.356
Ac Sm Pb
5 1 6
direct
0.000 0.000 0.000
0.332 0.668 0.000
0.335 0.665 0.500
0.665 0.335 0.500
0.668 0.332 0.000
0.000 0.000 0.500
0.161 0.838 0.745
0.162 0.839 0.255
0.499 0.499 0.746
0.501 0.501 0.254
0.838 0.161 0.745
0.839 0.162 0.255

PmNdSi2 (GGA-PBE, optimized geometry); formation energy from raw total energies = -0.43 eV per atom
1.0
3.385 0.000 0.000
0.000 3.385 0.000
0.000 0.000 8.215
Pm Nd Si
1 1 2
direct
0.000 0.000 0.000
0.000 0.000 0.500
0.500 0.500 0.248
0.500 0.500 0.752

Sr2VSb2H4 (GGA-PBE, optimized geometry); uncorrected energy = -3.92 eV/atom
1.0
-3.281 3.281 3.989
3.281 -3.281 3.989
3.281 3.281 -3.989
Sr V Sb H
2 1 2 4
direct
0.250 0.750 0.500
0.750 0.250 0.500
0.000 0.000 0.000
0.329 0.329 0.000
0.671 0.671 0.000
0.193 0.193 0.386
0.193 0.807 0.000
0.807 0.193 0.000
0.807 0.807 0.614

Cu2MoIr (GGA-PBE, optimized geometry); excess energy over the best structure of this formula in the dataset = 0.1564 eV/atom; energy of formation = 0.189 eV per atom
1.0
1.449 -2.229 0.000
1.449 2.229 0.000
0.000 0.000 8.733
Cu Mo Ir
2 1 1
direct
0.000 0.000 0.000
0.500 0.500 0.232
0.500 0.500 0.742
0.000 0.000 0.486